# 1
Mo2OsRh GGA-PBEsol relaxed; space-group type = P4/mmm (123); E_form = -73 meV per atom; magnetization = 0.000 μB per cell
1.0
-3.1127 0.3692 -2.2109
-0.1184 -3.8447 -0.4753
-2.2618 -0.3174 3.1314
Rh Mo Os
1 2 1
direct
0.5000 0.0000 0.0000
0.0000 0.0000 0.5000
0.0000 0.5000 0.0000
0.5000 0.5000 0.5000

***

# 2
B2P2Cl GGA-PBEsol relaxed; space-group type = I4/mmm (139); raw formation energy = 0.447 eV per atom; magnetization = 0.000 μB per cell
1.0
-0.5685 2.2558 -3.1536
-3.7851 -1.0139 -0.0429
1.3343 2.4256 3.9293
P B Cl
2 2 1
direct
0.3533 0.3533 0.7066
0.6467 0.6467 0.2934
0.2500 0.7500 0.5000
0.7500 0.2500 0.5000
0.0000 0.0000 0.0000

***

# 3
TcTe2Pt GGA-PBEsol relaxed; space-group type = R3m (160); raw formation energy = 0.228 eV per atom; magnetization = 0.000 μB per cell
1.0
3.2835 0.0000 0.0000
1.6418 2.8436 0.0000
1.6418 0.9479 9.3753
Pt Tc Te
1 1 2
direct
0.5066 0.5066 0.4803
0.2448 0.2448 0.2656
0.9756 0.9756 0.0731
0.7730 0.7730 0.6810

***

# 4
YZrAg2 GGA-PBEsol relaxed; space-group type = C2/m (12); E_form = 83 meV per atom; magnetization = 0.001 μB per cell
1.0
3.0545 0.0000 0.0000
-1.5273 4.8080 0.0210
0.0000 -0.8885 5.8491
Ag Y Zr
2 1 1
direct
0.7519 0.5039 0.7826
0.2481 0.4961 0.2174
0.0000 0.0000 0.5000
0.5000 0.0000 0.0000

***

# 5
LiCoPO4 GGA-PBEsol relaxed; space-group type = P2_12_12_1 (19); raw formation energy = -1.834 eV per atom; magnetization = 12.000 μB per cell
1.0
4.8884 0.0000 0.0000
0.0000 7.0981 0.0000
0.0000 0.0000 9.4519
Li Co P O
4 4 4 16
direct
0.8544 0.2332 0.3938
0.6456 0.7668 0.8938
0.3544 0.2668 0.6062
0.1456 0.7332 0.1062
0.4576 0.9137 0.4787
0.5424 0.4137 0.0213
0.0424 0.0863 0.9787
0.9576 0.5863 0.5213
0.6141 0.0035 0.1536
0.8859 0.9965 0.6536
0.1141 0.4965 0.8464
0.3859 0.5035 0.3464
0.6483 0.0144 0.3156
0.8517 0.9856 0.8156
0.3108 0.9856 0.1124
0.1892 0.0144 0.6124
0.7164 0.1548 0.5855
0.7836 0.8452 0.0855
0.7408 0.1927 0.0936
0.7592 0.8073 0.5936
0.2408 0.3073 0.9064
0.2592 0.6927 0.4064
0.3517 0.5144 0.1844
0.1483 0.4856 0.6844
0.8108 0.5144 0.8876
0.6892 0.4856 0.3876
0.2164 0.3452 0.4145
0.2836 0.6548 0.9145

***

# 6
AlCdTe2 GGA-PBEsol relaxed; space-group type = Fm-3m (225); raw formation energy = 0.076 eV per atom; magnetization = 0.000 μB per cell
1.0
5.1489 0.0000 0.0000
2.5745 4.4591 0.0000
2.5745 1.4864 4.2041
Te Al Cd
2 1 1
direct
0.2500 0.2500 0.2500
0.7500 0.7500 0.7500
0.5000 0.5000 0.5000
0.0000 0.0000 0.0000